# MgTlMo2O8

A geometry-optimized MgTlMo2O8 structure (PBE with a Hubbard U, Alexandria).

Summary:
- VASP energy: -6.4277 eV/atom
- D(E_F): 4.87 states/eV per cell
- Total moment: 0.00 Bohr magnetons per cell
- Calculated volume: 197.42 Å³ per cell

a b c (Å): 5.8903 5.8903 6.5703
angles (deg): 90.00 90.00 120.00
Space group P-3m1 (No. 164)
Symmetry-distinct sites (fractional):
Mg  0.0000  0.0000  0.0000 (multiplicity 1)
Tl  0.0000  0.0000  0.5000 (multiplicity 1)
Mo  0.3333  0.6667  0.7238 (multiplicity 2)
O  0.1626  0.3253  0.8046 (multiplicity 6)
O  0.3333  0.6667  0.4584 (multiplicity 2)